# 1
# Ho2Er2Tl7 PBE optimized geometry
data_Ho2Er2Tl7
_chemical_formula_sum 'Ho2 Er2 Tl7'
_cell_length_a 6.829
_cell_length_b 8.358
_cell_length_c 6.829
_cell_angle_alpha 90.00
_cell_angle_beta 118.53
_cell_angle_gamma 90.00
_space_group_name_H-M_alt 'P 1'
_space_group_IT_number 1
loop_
_space_group_symop_operation_xyz
'x,y,z'
loop_
_atom_site_label
_atom_site_type_symbol
_atom_site_fract_x
_atom_site_fract_y
_atom_site_fract_z
Ho1 Ho 0.750 0.500 0.750
Ho2 Ho 0.250 0.500 0.250
Er1 Er 0.733 0.000 0.267
Er2 Er 0.267 0.000 0.733
Tl1 Tl 0.000 0.315 0.500
Tl2 Tl 0.500 0.685 0.000
Tl3 Tl 0.000 0.685 0.500
Tl4 Tl 0.500 0.315 0.000
Tl5 Tl 0.000 0.000 0.000
Tl6 Tl 0.500 0.811 0.500
Tl7 Tl 0.500 0.189 0.500
# - DFT total energy (eV/cell) = -34.359
# - crystal system = orthorhombic
# - symmetry = Cmmm (65)

# 2
# HoEr5Tl8 PBE optimized geometry
data_HoEr5Tl8
_chemical_formula_sum 'Ho1 Er5 Tl8'
_cell_length_a 7.985
_cell_length_b 7.985
_cell_length_c 7.985
_cell_angle_alpha 109.56
_cell_angle_beta 109.30
_cell_angle_gamma 109.56
_space_group_name_H-M_alt 'P 1'
_space_group_IT_number 1
loop_
_space_group_symop_operation_xyz
'x,y,z'
loop_
_atom_site_label
_atom_site_type_symbol
_atom_site_fract_x
_atom_site_fract_y
_atom_site_fract_z
Ho1 Ho 0.250 0.500 0.750
Er1 Er 0.003 0.373 0.124
Er2 Er 0.876 0.879 0.249
Er3 Er 0.751 0.627 0.630
Er4 Er 0.500 0.000 0.500
Er5 Er 0.370 0.121 0.997
Tl1 Tl 0.125 0.749 0.040
Tl2 Tl 0.960 0.085 0.709
Tl3 Tl 0.787 0.252 0.373
Tl4 Tl 0.627 0.413 0.879
Tl5 Tl 0.465 0.587 0.213
Tl6 Tl 0.624 0.915 0.875
Tl7 Tl 0.291 0.251 0.376
Tl8 Tl 0.121 0.748 0.535
# - DFT total energy (eV/cell) = -49.149
# - crystal system = tetragonal
# - symmetry = I-4 (82)

no.,total moment (μB/atom)
1,0.00
2,0.00